No. 1
Ca3Sn2Hg | PBE | relaxed

The structure belongs to space group Cmmm (No. 65); the cell edges are 5.464, 16.372 and 7.561 Å and the angles 90.00°, 90.00° and 90.00°. The inequivalent atoms are Ca at (0.000, 0.000, 0.249), Ca at (0.000, 0.333, 0.247), Sn at (0.000, 0.168, 0.500), Sn at (0.000, 0.500, 0.000), Sn at (0.000, 0.500, 0.500) and Hg at (0.000, 0.171, 0.000).

The value obtained for the formation energy is -352 kJ/mol of formula units. The total energy comes out at -71.9 eV for the cell shown.

***

No. 2
Ca3SnHg | PBE | relaxed

The structure belongs to space group P2_1/c (No. 14); the cell edges are 9.396, 8.369 and 9.137 Å and the angles 90.00°, 118.46° and 90.00°. The inequivalent atoms are Ca at (0.019, 0.014, 0.216), Ca at (0.278, 0.122, 0.672), Ca at (0.389, 0.731, 0.930), Sn at (0.109, 0.709, 0.051) and Hg at (0.355, 0.027, 0.137).

For the excess energy over the best structure of this formula in the dataset, the calculation gives 19 kJ/mol of formula units. The value obtained for the formation energy is -239 kJ/mol of formula units. The total energy comes out at -51.2 eV for the cell shown.

***

No. 3
CaSnHg | PBE | relaxed

The structure belongs to space group P4/nmm (No. 129, origin choice 2); the cell edges are 4.782, 4.782 and 7.366 Å and the angles 90.00°, 90.00° and 90.00°. The inequivalent atoms are Ca at (0.250, 0.250, 0.197), Sn at (0.250, 0.250, 0.758) and Hg at (0.250, 0.750, 0.500).

The value obtained for the formation energy is -129 kJ/mol of formula units. The total energy comes out at -15.3 eV for the cell shown.

***

No. 4
Ca3Sn2Hg8 | PBE | relaxed

The structure belongs to space group R-3m (No. 166, hexagonal axes); the cell edges are 6.1081, 6.1081 and 34.1471 Å and the angles 90.00°, 90.00° and 120.00°. The inequivalent atoms are Ca at (0.0000, 0.0000, 0.0000), Ca at (0.0000, 0.0000, 0.1876), Sn at (0.0000, 0.0000, 0.3636), Hg at (0.0000, 0.0000, 0.2779) and Hg at (0.0006, 0.5003, 0.7740).

The value obtained for the formation energy is -236 kJ/mol of formula units. The total energy comes out at -56.6 eV for the cell shown.

***

No. 5
CaSnHg | PBE | relaxed

The structure belongs to space group Pnma (No. 62); the cell edges are 7.749, 4.854 and 8.664 Å and the angles 90.00°, 90.00° and 90.00°. The inequivalent atoms are Ca at (0.005, 0.250, 0.207), Sn at (0.229, 0.750, 0.407) and Hg at (0.173, 0.250, 0.583).

The value obtained for the formation energy is -138 kJ/mol of formula units. The total energy comes out at -30.9 eV for the cell shown.

***

No. 6
Ca2SnHg | PBE | relaxed

The structure belongs to space group Fm-3m (No. 225); the cell edges are 7.673, 7.673 and 7.673 Å and the angles 90.00°, 90.00° and 90.00°. The inequivalent atoms are Ca at (0.250, 0.250, 0.250), Sn at (0.000, 0.000, 0.000) and Hg at (0.000, 0.000, 0.500).

For the excess energy over the best structure of this formula in the dataset, the calculation gives 0 kJ/mol of formula units. The value obtained for the formation energy is -255 kJ/mol of formula units. The total energy comes out at -43.8 eV for the cell shown.

***

No. 7
CaSnHg4 | PBE | relaxed

The structure belongs to space group C2/m (No. 12); the cell edges are 14.932, 8.465 and 5.383 Å and the angles 90.00°, 104.12° and 90.00°. The inequivalent atoms are Ca at (0.201, 0.000, 0.121), Sn at (0.060, 0.500, 0.773), Hg at (0.000, 0.182, 0.000), Hg at (0.126, 0.190, 0.567) and Hg at (0.178, 0.500, 0.303).

For the excess energy over the best structure of this formula in the dataset, the calculation gives 24 kJ/mol of formula units. The value obtained for the formation energy is -110 kJ/mol of formula units. The total energy comes out at -33.4 eV for the cell shown.

***

No. 8
CaSnHg | PBE | relaxed

The structure belongs to space group P-1 (No. 2); the cell edges are 3.681, 5.559 and 8.394 Å and the angles 80.22°, 77.40° and 89.99°. The inequivalent atoms are Ca at (0.103, 0.218, 0.293), Sn at (0.430, 0.292, 0.640) and Hg at (0.234, 0.746, 0.033).

The value obtained for the formation energy is -124 kJ/mol of formula units. The total energy comes out at -15.2 eV for the cell shown.

***

Number 1: DOS at the Fermi energy 2.69 states/eV/f.u.. Number 2: DOS at the Fermi energy 3.13 states/eV/f.u.. Number 3: DOS at the Fermi energy 1.10 states/eV/f.u.. Number 4: DOS at the Fermi energy 8.79 states/eV/f.u.. Number 5: DOS at the Fermi energy 0.86 states/eV/f.u.. Number 6: DOS at the Fermi energy 0.00 states/eV/f.u.. Number 7: DOS at the Fermi energy 2.85 states/eV/f.u.. Number 8: DOS at the Fermi energy 1.32 states/eV/f.u..